The following is a PBE calculation of crystalline CeNd2C2 at its relaxed geometry, from Alexandria via LeMat-Bulk.

Unit cell a=5.3469 b=6.4837 c=8.2029 alpha=59.70 beta=70.95 gamma=65.65
Closest atoms and distances in Å follow each position.
Positions (direct):
Ce 0.3410 0.2256 0.0928  3 C 2.32-2.51
Ce 0.6590 0.7744 0.9072  3 C 2.32-2.51
Nd 0.6661 0.2438 0.4241  5 C 2.64-2.92
Nd 0.3339 0.7562 0.5759  5 C 2.64-2.92
Nd 0.0036 0.7287 0.2643  4 C 2.51-2.70
Nd 0.9964 0.2713 0.7357  4 C 2.51-2.70
C 0.1725 0.2594 0.3958  1 Ce 2.44, 5 Nd 2.51-2.69
C 0.8275 0.7406 0.6042  1 Ce 2.44, 5 Nd 2.51-2.69
C 0.5075 0.2100 0.7744  2 Ce 2.32-2.51
C 0.4925 0.7900 0.2256  2 Ce 2.32-2.51

Output
ΔE_f: -25 meV per atom
M_tot: 0.0 μB per cell

The following is a PBE calculation of crystalline Ce2NdC2 at its relaxed geometry, from Alexandria via LeMat-Bulk.

Unit cell a=3.6569 b=5.1921 c=6.4111 alpha=113.89 beta=106.57 gamma=90.00
Closest atoms and distances in Å follow each position.
Positions (direct):
Ce 0.3249 0.3249 0.6498  4 C 2.43-2.60
Ce 0.6751 0.6751 0.3502  4 C 2.43-2.60
Nd 0.0000 0.0000 0.0000  4 C 2.72
C 0.6807 0.1807 0.3615  4 Ce 2.43-2.60, 2 Nd 2.72
C 0.3193 0.8193 0.6385  4 Ce 2.43-2.60, 2 Nd 2.72

Output
ΔE_f: -83 meV per atom
M_tot: 0.0 μB per cell
energy above the lowest structure with this stoichiometry: 0.000 eV per atom